(1)
This record from Alexandria via LeMat-Bulk describes crystalline NaCa4Sm3Te8 at its relaxed geometry. The functional is PBE.

a = 8.963 Å, b = 8.992 Å, c = 8.963 Å
α = 119.90°, β = 120.00°, γ = 90.00°
Atoms (fractional coordinates):
Te1 0.251 0.750 0.999
Te2 0.250 0.250 0.500
Te3 0.748 0.750 0.999
Te4 0.251 0.750 0.502
Ca1 0.500 0.000 0.500
Ca2 0.000 0.000 0.500
Te5 0.252 0.250 0.001
Sm1 0.000 0.500 0.500
Na1 0.000 0.500 0.000
Te6 0.749 0.250 0.001
Sm2 0.500 0.500 0.500
Sm3 0.500 0.500 0.000
Te7 0.749 0.250 0.498
Ca3 0.500 0.000 0.000
Te8 0.750 0.750 0.500
Ca4 0.000 0.000 0.000

Output
**ΔE_f (raw)**: -1.4917 eV/atom

(2)
This record from Alexandria via LeMat-Bulk describes crystalline ScMo at its relaxed geometry. The functional is PBE.

a = 4.482 Å, b = 4.482 Å, c = 9.428 Å
α = 90.00°, β = 90.00°, γ = 120.00°
Atoms (fractional coordinates):
Mo1 0.000 0.000 0.750
Sc1 0.667 0.333 0.916
Mo2 0.333 0.667 0.750
Mo3 0.667 0.333 0.250
Mo4 0.000 0.000 0.250
Sc2 0.667 0.333 0.584
Sc3 0.333 0.667 0.084
Sc4 0.333 0.667 0.416

Output
**ΔH_f (0 K)**: 0.2843 eV/atom
**Energy above the lowest structure with this stoichiometry**: 0.3084 eV/atom

(3)
This record from Alexandria via LeMat-Bulk describes crystalline AlRhIN2 at its relaxed geometry. The functional is PBE.

a = 3.731 Å, b = 3.731 Å, c = 6.564 Å
α = 90.00°, β = 90.00°, γ = 90.00°
Atoms (fractional coordinates):
I1 0.000 0.000 0.500
Rh1 0.500 0.500 0.500
Al1 0.000 0.000 0.000
N1 0.000 0.500 0.000
N2 0.500 0.000 0.000

Output
**Energy above the lowest structure with this stoichiometry**: 0.0000 eV/atom
**ΔE_f (raw)**: 0.9951 eV/atom

(4)
This record from Alexandria via LeMat-Bulk describes crystalline TbPm5Er8 at its relaxed geometry. The functional is PBE.

a = 8.428 Å, b = 8.428 Å, c = 8.428 Å
α = 110.83°, β = 106.78°, γ = 110.83°
Atoms (fractional coordinates):
Er1 0.081 0.745 0.477
Pm1 0.500 0.000 0.500
Pm2 0.031 0.325 0.134
Tb1 0.250 0.500 0.750
Er2 0.523 0.603 0.268
Er3 0.573 0.913 0.836
Er4 0.164 0.737 0.077
Er5 0.665 0.397 0.919
Pm3 0.809 0.675 0.706
Pm4 0.866 0.897 0.191
Er6 0.923 0.087 0.660
Pm5 0.294 0.103 0.969
Er7 0.732 0.255 0.335
Er8 0.340 0.263 0.427

Output
**ΔH_f (0 K)**: 0.2410 eV/atom

(5)
This record from Alexandria via LeMat-Bulk describes crystalline TmCo3Si at its relaxed geometry. The functional is PBE.

a = 4.384 Å, b = 8.730 Å, c = 8.730 Å
α = 150.11°, β = 90.00°, γ = 90.00°
Atoms (fractional coordinates):
Co1 0.250 0.969 0.515
Co2 0.750 0.515 0.969
Si1 0.250 0.115 0.885
Co3 0.000 0.000 0.000
Co4 0.250 0.485 0.031
Tm1 0.750 0.602 0.398
Co5 0.500 0.000 0.000
Si2 0.750 0.885 0.115
Tm2 0.250 0.398 0.602
Co6 0.750 0.031 0.485

Output
**ΔE_f (raw)**: -0.0218 eV/atom

(6)
This record from Alexandria via LeMat-Bulk describes crystalline CeZrGaTc at its relaxed geometry. The functional is PBE.

a = 4.862 Å, b = 4.862 Å, c = 4.862 Å
α = 60.00°, β = 60.00°, γ = 60.00°
Atoms (fractional coordinates):
Zr1 0.000 0.000 0.000
Ga1 0.250 0.250 0.250
Ce1 0.500 0.500 0.500
Tc1 0.750 0.750 0.750

Output
**ΔH_f (0 K)**: -0.2195 eV/atom

(7)
This record from Alexandria via LeMat-Bulk describes crystalline ZrTi3Nb3 at its relaxed geometry. The functional is PBE.

a = 4.782 Å, b = 7.270 Å, c = 8.404 Å
α = 118.17°, β = 90.00°, γ = 90.00°
Atoms (fractional coordinates):
Zr1 0.750 0.833 0.476
Ti1 0.250 0.597 0.811
Ti2 0.750 0.972 0.901
Nb1 0.250 0.475 0.400
Zr2 0.250 0.167 0.524
Nb2 0.750 0.280 0.763
Nb3 0.750 0.095 0.283
Nb4 0.750 0.525 0.600
Ti3 0.250 0.028 0.099
Ti4 0.750 0.403 0.189
Ti5 0.750 0.672 0.035
Nb5 0.250 0.905 0.717
Nb6 0.250 0.720 0.237
Ti6 0.250 0.328 0.965

Output
**ΔH_f (0 K)**: 0.0524 eV/atom

(8)
This record from Alexandria via LeMat-Bulk describes crystalline TlNiSe2 at its relaxed geometry. The functional is PBE.

a = 3.302 Å, b = 3.302 Å, c = 8.666 Å
α = 90.00°, β = 90.00°, γ = 90.00°
Atoms (fractional coordinates):
Ni1 0.500 0.500 0.950
Se1 0.000 0.000 0.863
Se2 0.500 0.500 0.220
Tl1 0.000 0.000 0.466

Output
**ΔE_f (raw)**: -0.0581 eV/atom

Number 1: N(E_F) 4.3 states/eV/f.u.. Number 2: N(E_F) 1.5 states/eV/f.u.. Number 3: N(E_F) 3.9 states/eV/f.u.. Number 4: N(E_F) 19.5 states/eV/f.u.. Number 5: N(E_F) 4.7 states/eV/f.u.. Number 6: N(E_F) 4.1 states/eV/f.u.. Number 7: N(E_F) 10.9 states/eV/f.u.. Number 8: N(E_F) 2.2 states/eV/f.u..